# Li4HfCd5 (PBE, relaxed)
# total DFT energy (no corrections)	-2.39	eV per atom
# DFT formation energy	-0.18	eV per atom
# calculated density	6.642	Mg/m³
data_Li4HfCd5
_chemical_formula_sum 'Li4 Hf1 Cd5'
_cell_length_a 3.071
_cell_length_b 3.071
_cell_length_c 20.367
_cell_angle_alpha 90.00
_cell_angle_beta 90.00
_cell_angle_gamma 90.00
_space_group_name_H-M_alt 'P 1'
_space_group_IT_number 1
_space_group_name_Hall 'P 1'
loop_
_atom_site_label
_atom_site_type_symbol
_atom_site_fract_x
_atom_site_fract_y
_atom_site_fract_z
Li1 Li 0.000 0.000 0.098
Li2 Li 0.000 0.000 0.292
Li3 Li 0.000 0.000 0.708
Li4 Li 0.000 0.000 0.902
Hf1 Hf 0.000 0.000 0.500
Cd1 Cd 0.500 0.500 0.000
Cd2 Cd 0.500 0.500 0.196
Cd3 Cd 0.500 0.500 0.389
Cd4 Cd 0.500 0.500 0.611
Cd5 Cd 0.500 0.500 0.804